# 1
## NaCa3Tl2 (PBE)

Data for an optimized crystal structure of NaCa3Tl2.

abc: 3.9243 3.9243 12.6564
angles: 90.00 90.00 90.00
With the nearest neighbours (Å) after each atom.
Fractional positions:
Na1 0.0000 0.0000 0.0000  8 Ca 3.78, 4 Na 3.92
Ca1 0.5000 0.5000 0.2026  4 Tl 3.31
Ca2 0.5000 0.5000 0.5000  8 Tl 3.40, 2 Ca 3.76
Ca3 0.5000 0.5000 0.7974  4 Tl 3.31
Tl1 0.0000 0.0000 0.3451  8 Ca 3.31-3.40
Tl2 0.0000 0.0000 0.6549  8 Ca 3.31-3.40

Calculated values
DOS at the Fermi energy, states/eV/f.u.: 4.2
Relative energy among the computed polymorphs, meV/atom: 0.0

# 2
## NaCaTl4 (PBE)

Data for an optimized crystal structure of NaCaTl4.

abc: 6.4180 6.4180 6.4180
angles: 60.00 60.00 60.00
With the nearest neighbours (Å) after each atom.
Fractional positions:
Na1 0.0000 0.0000 0.0000  12 Tl 3.76, 4 Ca 3.93
Ca1 0.2500 0.2500 0.2500  12 Tl 3.76, 4 Na 3.93
Tl1 0.1247 0.6251 0.6251  6 Tl 3.21
Tl2 0.6251 0.1247 0.6251  6 Tl 3.21
Tl3 0.6251 0.6251 0.1247  6 Tl 3.21
Tl4 0.6251 0.6251 0.6251  6 Tl 3.21

Calculated values
DOS at the Fermi energy, states/eV/f.u.: 2.0
Relative energy among the computed polymorphs, meV/atom: 64.9

# 3
## NaCa4Tl (PBE)

Data for an optimized crystal structure of NaCa4Tl.

abc: 5.5703 5.5703 9.7179
angles: 106.61 106.61 59.97
With the nearest neighbours (Å) after each atom.
Fractional positions:
Na1 0.0000 0.0000 0.0000  8 Ca 3.53-3.76
Ca1 0.1367 0.1367 0.4096  3 Tl 3.32, 3 Ca 3.62
Ca2 0.3862 0.3862 0.1591  1 Tl 3.13
Ca3 0.6138 0.6138 0.8409  1 Tl 3.13
Ca4 0.8633 0.8633 0.5904  3 Tl 3.32, 3 Ca 3.62
Tl1 0.5000 0.5000 0.5000  8 Ca 3.13-3.32

Calculated values
DOS at the Fermi energy, states/eV/f.u.: 4.4
Relative energy among the computed polymorphs, meV/atom: 141.1

# 4
## NaCaTl (PBE)

Data for an optimized crystal structure of NaCaTl.

abc: 6.1690 6.1690 6.1690
angles: 141.14 141.14 56.13
With the nearest neighbours (Å) after each atom.
Fractional positions:
Na1 0.0000 0.0000 0.0000  4 Tl 3.33, 5 Ca 3.38-3.56
Ca1 0.3102 0.3102 0.0000  5 Na 3.38-3.56, 5 Tl 3.39-3.69
Tl1 0.6492 0.6492 0.0000  4 Na 3.33, 5 Ca 3.39-3.69

Calculated values
DOS at the Fermi energy, states/eV/f.u.: 1.9
Relative energy among the computed polymorphs, meV/atom: 29.9

# 5
## NaCaTl4 (PBE)

Data for an optimized crystal structure of NaCaTl4.

abc: 3.6501 5.3003 9.1935
angles: 91.00 90.84 91.26
With the nearest neighbours (Å) after each atom.
Fractional positions:
Na1 0.0000 0.0000 0.0000  8 Tl 3.35-3.72, 2 Na 3.65
Ca1 0.0014 0.4998 0.5013  8 Tl 3.37-3.73, 2 Ca 3.65
Tl1 0.3890 0.0001 0.3327  3 Tl 3.16-3.18, 1 Na 3.35, 2 Ca 3.39
Tl2 0.3951 0.4997 0.8353  3 Tl 3.14-3.18, 1 Ca 3.37, 2 Na 3.38-3.39
Tl3 0.6086 0.9995 0.6674  3 Tl 3.16-3.18, 1 Na 3.36, 2 Ca 3.38-3.39
Tl4 0.6119 0.5000 0.1668  3 Tl 3.14-3.18, 1 Ca 3.37, 2 Na 3.38-3.39

Calculated values
DOS at the Fermi energy, states/eV/f.u.: 3.3
Relative energy among the computed polymorphs, meV/atom: 30.3

# 6
## NaCa4Tl2 (PBE)

Data for an optimized crystal structure of NaCa4Tl2.

abc: 9.3839 9.3839 9.3839
angles: 34.27 34.27 34.27
With the nearest neighbours (Å) after each atom.
Fractional positions:
Na1 0.0000 0.0000 0.0000  8 Ca 3.46, 6 Tl 3.81
Ca1 0.1306 0.1306 0.1306  4 Tl 3.29-3.48, 1 Na 3.46
Ca2 0.3838 0.3838 0.3838  4 Tl 3.28-3.41, 3 Na 3.46
Ca3 0.6162 0.6162 0.6162  4 Tl 3.28-3.41, 3 Na 3.46
Ca4 0.8694 0.8694 0.8694  4 Tl 3.29-3.48, 1 Na 3.46
Tl1 0.2551 0.2551 0.2551  8 Ca 3.28-3.48
Tl2 0.7449 0.7449 0.7449  8 Ca 3.28-3.48

Calculated values
DOS at the Fermi energy, states/eV/f.u.: 10.5

Calculated energy relative to the elements in order - -288, -131, 17, -183, -166, -238 meV/atom